Material: Ho4IrSe2Cl
Method: DFT, PBE-GGA
State: relaxed

Calculated values
- Size of the total moment: 0.00 μB per cell
- Formation energy from raw total energies: -1406 meV/atom
- DOS(E_F): 4.722 states/eV/cell
- Total DFT energy (no corrections): -5.904 eV/atom

abc: 3.964 7.211 7.130
angles: 71.76 90.00 90.00
Sites, in units of the cell vectors:
Cl1 0.500 0.500 0.000
Ho1 0.000 0.746 0.729
Ho2 0.500 0.725 0.281
Se1 0.500 0.000 0.500
Ir1 0.000 0.500 0.500
Se2 0.000 0.000 0.000
Ho3 0.000 0.254 0.271
Ho4 0.500 0.275 0.719